# 1
Below is a geometry-optimized FeSn2W structure, with properties calculated at the PBE level.

Computed properties:
The calculation puts the size of the total moment at 0.01 μB/atom. The value obtained for the relative energy among the computed polymorphs is 0 meV/atom. The calculation puts the final energy at -6.69 eV per atom. The calculation puts the formation energy at 0.669 eV per atom.

POSCAR file:
```
FeSn2W
1.0
0.0000 3.2590 3.2590
3.2590 0.0000 3.2590
3.2590 3.2590 0.0000
Fe Sn W
1 2 1
Cartesian
0.0000 0.0000 0.0000 Fe
1.6295 1.6295 1.6295 Sn
4.8885 4.8885 4.8885 Sn
3.2590 3.2590 3.2590 W
```


# 2
Below is a geometry-optimized YFeSn2 structure, with properties calculated at the PBE level.

Computed properties:
The calculation puts the size of the total moment at 0.00 μB/atom. The calculation puts the final energy at -5.63 eV per atom. The calculation puts the formation energy at 0.100 eV per atom.

POSCAR file:
```
YFeSn2
1.0
0.0000 3.4052 3.4052
3.4052 0.0000 3.4052
3.4052 3.4052 0.0000
Y Fe Sn
1 1 2
Cartesian
0.0000 0.0000 0.0000 Y
3.4052 3.4052 3.4052 Fe
1.7026 1.7026 1.7026 Sn
5.1077 5.1077 5.1077 Sn
```


# 3
Below is a geometry-optimized YFeSn structure, with properties calculated at the PBE level.

Computed properties:
The calculation puts the size of the total moment at 0.01 μB/atom. The calculation puts the final energy at -6.30 eV per atom. The calculation puts the formation energy at 0.009 eV per atom.

POSCAR file:
```
YFeSn
1.0
4.4404 -4.5098 0.0000
4.4404 4.5098 0.0000
0.0000 0.0000 3.4927
Y Fe Sn
2 2 2
Cartesian
4.4404 2.5711 0.0000 Y
4.4404 -2.5711 0.0000 Y
0.0000 0.0000 1.7464 Fe
4.4404 0.0000 0.0000 Fe
2.4930 0.0000 1.7464 Sn
6.3879 0.0000 1.7464 Sn
```


Volume (Å³/f.u.)
69.2, 79.0, 69.9